Entry 1:
Th2CdGa after structural relaxation. Source: the Alexandria database, functional PBE-GGA.

formation energy: -0.261 eV per atom

Cell: 3.416 3.416 9.017 Å, 90.00 90.00 90.00°
Fractional positions:
Ga 0.500 0.500 0.000
Th 0.000 0.000 0.768
Th 0.000 0.000 0.232
Cd 0.500 0.500 0.500

=====

Entry 2:
GaHAu after structural relaxation. Source: the Alexandria database, functional PBE-GGA.

distance to the lowest polymorph of the same formula: 48 meV/atom

Cell: 4.989 4.755 7.456 Å, 90.00 90.00 90.00°
Fractional positions:
H 0.065 0.000 0.717
H 0.565 0.500 0.283
H 0.935 0.500 0.783
H 0.435 0.000 0.217
Au 0.411 0.000 0.656
Au 0.911 0.500 0.344
Au 0.589 0.500 0.844
Au 0.089 0.000 0.156
Ga 0.623 0.000 0.013
Ga 0.123 0.500 0.987
Ga 0.377 0.500 0.487
Ga 0.877 0.000 0.513

=====

Entry 3:
CsSiSN2 after structural relaxation. Source: the Alexandria database, functional PBE-GGA.

uncorrected formation energy: 83 kJ/mol of atoms
distance to the lowest polymorph of the same formula: 0 meV/atom

Cell: 3.869 3.869 5.140 Å, 90.00 90.00 90.00°
Fractional positions:
Cs 0.500 0.500 0.500
S 0.000 0.000 0.500
Si 0.000 0.000 0.000
N 0.000 0.500 0.000
N 0.500 0.000 0.000